5
Lattice="5.1496 0.0000 0.0000 0.0000 5.1496 0.0000 0.0000 0.0000 5.0303" Properties=species:S:1:pos:R:3 comment="PBE+U ZrSc2WO, relaxed" dos_ef_per_ev_cell=3.94 total_magnetization_mub_per_cell=0.66 e_tot_ry_per_atom=-0.4015 pbc="T T T"
Zr 0.0000 0.0000 0.0000
Sc 0.0000 2.5748 2.5151
Sc 2.5748 0.0000 2.5151
W 0.0000 0.0000 2.5151
O 2.5748 2.5748 0.0000